W2AuCl | the Alexandria database | PBE | relaxed; theoretical density = 13.46 Mg/m³; total magnetization = 0.0 μB/cell; formation energy (no corrections) = 1.161 eV per atom; space group = I-42d (122)
1.0
3.8855 0.0000 0.0000
0.0000 3.8855 0.0000
0.0000 0.0000 19.6121
W Au Cl
8 4 4
Direct
0.2215 0.2500 0.1250
0.2500 0.7215 0.3750
0.2500 0.7785 0.8750
0.2785 0.2500 0.6250
0.7215 0.7500 0.6250
0.7500 0.2215 0.8750
0.7500 0.2785 0.3750
0.7785 0.7500 0.1250
0.0000 0.0000 0.0000
0.0000 0.5000 0.2500
0.5000 0.0000 0.7500
0.5000 0.5000 0.5000
0.0000 0.0000 0.5000
0.0000 0.5000 0.7500
0.5000 0.0000 0.2500
0.5000 0.5000 0.0000